# 1
VASP calculation (SCAN) on Ta5Rh at its PBEsol-relaxed geometry.

a b c (Å): 3.242 3.242 9.658
angles (deg): 90.00 90.00 90.00
Atoms (fractional coordinates):
Ta 0.000 0.000 0.660
Ta 0.500 0.500 0.830
Ta 0.000 0.000 0.000
Ta 0.500 0.500 0.170
Ta 0.000 0.000 0.340
Rh 0.500 0.500 0.500

Computed properties:
The calculation puts the volume at 101 Å³/cell. Its energy of formation from the pure elements is -0.2155 eV per atom. Its symmetry is P4/mmm. For the excess energy over the best structure of this formula in the dataset, the calculation gives 48 meV per atom.

# 2
VASP calculation (SCAN) on TlCo2Si at its PBEsol-relaxed geometry.

a b c (Å): 4.211 4.212 4.211
angles (deg): 60.01 90.00 119.99
Atoms (fractional coordinates):
Si 0.500 0.000 0.500
Co 0.250 0.500 0.250
Co 0.750 0.500 0.750
Tl 0.000 0.000 0.000

Computed properties:
The calculation puts the volume at 53 Å³/cell. Its symmetry is Fm-3m. For the uncorrected formation energy, the calculation gives 446 meV per atom. For the excess energy over the best structure of this formula in the dataset, the calculation gives 280 meV per atom.

Which of these has the highest excess energy over the best structure of this formula in the dataset? TlCo2Si

The lowest excess energy over the best structure of this formula in the dataset belongs to which entry? Ta5Rh

excess energy over the best structure of this formula in the dataset of number 2 (TlCo2Si)? 280 meV per atom